A relaxed structure of Li3B4C4. Source: the Alexandria database, functional GGA-PBE.

Cell lengths 5.4534, 5.4498, 7.1461 Å; angles 90.00, 90.00, 119.98 degrees
Last column: nearest neighbours and their distance in Å.
Atoms (fractional coordinates):
B 0.6648 0.3324 0.2500  3 C 1.57-1.58
B 0.3352 0.1676 0.7500  3 C 1.57-1.58
B 0.6648 0.8324 0.2500  3 C 1.57-1.58
B 0.8308 0.6654 0.7437  3 C 1.57-1.58
B 0.1692 0.3346 0.2563  3 C 1.57-1.58
B 0.8308 0.1654 0.7563  3 C 1.57-1.58
B 0.3352 0.6676 0.7500  3 C 1.57-1.58
B 0.1692 0.8346 0.2437  3 C 1.57-1.58
Li 0.0000 0.5000 0.0000  6 C 2.34-2.42, 6 B 2.35-2.42
Li 0.0000 0.0000 0.0000  6 C 2.34-2.42, 6 B 2.35-2.42
Li 0.0000 0.0000 0.5000  6 C 2.34-2.42, 6 B 2.35-2.42
Li 0.5000 0.0000 0.5000  6 C 2.34-2.38, 6 B 2.38-2.41
Li 0.0000 0.5000 0.5000  6 C 2.34-2.42, 6 B 2.35-2.42
Li 0.5000 0.5000 0.0000  6 C 2.34-2.38, 6 B 2.38-2.41
C 0.3334 0.1667 0.2500  3 B 1.57
C 0.1656 0.8328 0.7418  3 B 1.58
C 0.6666 0.3333 0.7500  3 B 1.57
C 0.8344 0.6672 0.2418  3 B 1.58
C 0.1656 0.3328 0.7582  3 B 1.58
C 0.6666 0.8333 0.7500  3 B 1.57
C 0.3334 0.6667 0.2500  3 B 1.57
C 0.8344 0.1672 0.2582  3 B 1.58

Calculated values
The calculation puts the formation energy at -2.56 eV/f.u. The value obtained for the total magnetization is 0.00 μB/cell. The value obtained for the excess energy over the best structure of this formula in the dataset is 9 meV/atom.


A relaxed structure of CaTm2PuTe4. Source: the Alexandria database, functional GGA-PBE.

Cell lengths 6.1887, 6.1887, 7.5853 Å; angles 114.07, 114.07, 90.00 degrees
Last column: nearest neighbours and their distance in Å.
Atoms (fractional coordinates):
Te 0.0042 0.5042 0.0083  3 Tm 3.05-3.09, 2 Ca 3.09, 1 Pu 3.15
Te 0.7530 0.7530 0.5060  3 Tm 3.06-3.09, 2 Pu 3.09, 1 Ca 3.14
Te 0.4958 0.9958 0.9917  3 Tm 3.05-3.09, 2 Ca 3.09, 1 Pu 3.15
Te 0.2470 0.2470 0.4940  3 Tm 3.06-3.09, 2 Pu 3.09, 1 Ca 3.14
Ca 0.5000 0.5000 0.0000  6 Te 3.09-3.14
Tm 0.0000 0.0000 0.0000  6 Te 3.06-3.09
Tm 0.2500 0.7500 0.5000  6 Te 3.05-3.09
Pu 0.7500 0.2500 0.5000  6 Te 3.09-3.15

Calculated values
The value obtained for the uncorrected formation energy is -1265 meV/atom. The value obtained for the total magnetization is 6.04 μB/cell.


A relaxed structure of Na2BiO3. Source: the Alexandria database, functional GGA-PBE.

Cell lengths 11.4065, 10.8546, 5.9707 Å; angles 79.62, 69.40, 30.99 degrees
Last column: nearest neighbours and their distance in Å.
Atoms (fractional coordinates):
O 0.1351 0.6886 0.3071  2 Bi 2.17-2.38
O 0.3808 0.9429 0.5614  2 Bi 2.17-2.38
O 0.0776 0.6050 0.9333  2 Bi 2.18-2.41, 1 Na 2.44
O 0.6886 0.1351 0.8692  2 Bi 2.17-2.38
O 0.3167 0.8659 0.1724  2 Bi 2.18-2.41, 1 Na 2.44
O 0.7679 0.2150 0.2265  2 Bi 2.19-2.40, 2 Na 2.42-2.43
O 0.6050 0.0776 0.3841  2 Bi 2.18-2.41, 1 Na 2.44
O 0.4593 0.0235 0.0350  2 Bi 2.19-2.40, 2 Na 2.42-2.43
O 0.0235 0.4593 0.4821  2 Bi 2.19-2.40, 2 Na 2.42-2.43
O 0.2150 0.7679 0.7907  2 Bi 2.19-2.40, 2 Na 2.42-2.43
O 0.8659 0.3167 0.6450  2 Bi 2.18-2.41, 1 Na 2.44
O 0.9429 0.3808 0.1149  2 Bi 2.17-2.38
Na 0.9950 0.9950 0.5050  6 O 2.45-2.54
Na 0.4996 0.4996 0.0004  6 O 2.43-2.64
Na 0.5800 0.5800 0.4200  6 O 2.43-2.64
Na 0.4192 0.4192 0.5808  4 O 2.42-2.44
Na 0.7450 0.7450 0.2550  6 O 2.45-2.54
Na 0.6692 0.6692 0.8308  4 O 2.42-2.44
Na 0.8300 0.8300 0.6700  6 O 2.43-2.64
Na 0.2496 0.2496 0.7504  6 O 2.43-2.64
Bi 0.9144 0.9144 0.0856  6 O 2.17-2.19
Bi 0.1644 0.1644 0.3356  6 O 2.17-2.19
Bi 0.3318 0.3318 0.1682  6 O 2.38-2.41
Bi 0.0818 0.0818 0.9182  6 O 2.38-2.41

Calculated values
The value obtained for the uncorrected formation energy is -1383 meV/atom. The value obtained for the total magnetization is 0.00 μB/cell.